#A
VASP calculation (PBE) on LiBPdPb after structural relaxation.

Structure (extended XYZ):
```
4
Lattice="0.000 3.153 3.153 3.153 0.000 3.153 3.153 3.153 0.000" Properties=species:S:1:pos:R:3 pbc="T T T"
B 0.000 0.000 0.000
Li 4.730 4.730 4.730
Pb 3.153 3.153 3.153
Pd 1.577 1.577 1.577
```



#B
VASP calculation (PBE) on LiBPdPb after structural relaxation.

Structure (extended XYZ):
```
4
Lattice="0.000 3.111 3.111 3.111 0.000 3.111 3.111 3.111 0.000" Properties=species:S:1:pos:R:3 pbc="T T T"
B 1.555 1.555 1.555
Li 4.666 4.666 4.666
Pb 3.111 3.111 3.111
Pd 0.000 0.000 0.000
```



In terms of stability, #B leads; the second structure lies 0.029 eV/atom higher.